# V6O5F19

A geometry-optimized V6O5F19 structure (PBE with a Hubbard U, the Alexandria database).

Cell: 5.3528 5.5554 14.8957 Å, 79.50 89.62 87.91°
Fractional positions:
V  0.0000  0.0000  0.0000
V  0.0136  0.4288  0.3358
V  0.1091  0.7640  0.6792
V  0.5030  0.4913  0.0122
V  0.5344  0.9046  0.3406
V  0.6059  0.2727  0.6675
O  0.3174  0.2678  0.0386
O  0.3168  0.9420  0.7054
O  0.7910  0.4968  0.6415
O  0.7936  0.8214  0.9734
O  0.8062  0.6577  0.3116
F  0.1348  0.4121  0.2261
F  0.1540  0.1063  0.8953
F  0.1550  0.7689  0.5611
F  0.2735  0.7579  0.0333
F  0.2847  0.1218  0.3690
F  0.2914  0.6290  0.3558
F  0.3120  0.4568  0.7007
F  0.4518  0.5947  0.8938
F  0.4607  0.2564  0.5623
F  0.4722  0.9605  0.2222
F  0.6311  0.8086  0.4551
F  0.6495  0.5085  0.1173
F  0.6582  0.1665  0.7857
F  0.7843  0.1687  0.3230
F  0.7971  0.3060  0.9794
F  0.8374  0.0071  0.6456
F  0.9549  0.9912  0.1185
F  0.9558  0.6590  0.7842
F  0.9763  0.3473  0.4554

- Relative energy among the computed polymorphs: 11.4 meV per atom
- Crystal system: triclinic
- Raw total energy: -175.45 eV/cell
- M_tot: 0.033 μB per atom